# 1
Compound: CaP2Cl
Source: Alexandria via LeMat-Bulk
Functional: PBE
Structure: optimized geometry

- Energy relative to the elements, uncorrected: 10.09 kcal/mol of atoms
- Energy above the lowest structure with this stoichiometry: 1415 meV per atom

Unit cell a=8.711 b=8.711 c=8.711 alpha=22.42 beta=22.42 gamma=22.42
Fractional coordinates of all 4 atoms:
Ca (0.000, 0.000, 0.000)
P (0.247, 0.247, 0.247)
P (0.753, 0.753, 0.753)
Cl (0.500, 0.500, 0.500)



# 2
Compound: Sr3CoSe
Source: Alexandria via LeMat-Bulk
Functional: PBE
Structure: optimized geometry

- Energy relative to the elements, uncorrected: -4.36 kcal/mol of atoms
- Energy above the lowest structure with this stoichiometry: 0 meV per atom

Unit cell a=5.507 b=5.507 c=5.507 alpha=90.00 beta=90.00 gamma=90.00
Fractional coordinates of all 5 atoms:
Sr (0.000, 0.000, 0.500)
Sr (0.000, 0.500, 0.000)
Sr (0.500, 0.000, 0.000)
Co (0.000, 0.000, 0.000)
Se (0.500, 0.500, 0.500)



# 3
Compound: NaCo2Pb2
Source: Alexandria via LeMat-Bulk
Functional: PBE
Structure: optimized geometry

- Energy above the lowest structure with this stoichiometry: 156 meV per atom
- Calculated formation energy: 0.360 eV/atom

Unit cell a=7.648 b=7.648 c=3.201 alpha=90.00 beta=90.00 gamma=90.00
Fractional coordinates of all 10 atoms:
Na (0.000, 0.000, 0.000)
Na (0.500, 0.500, 0.000)
Co (0.127, 0.373, 0.000)
Co (0.373, 0.873, 0.000)
Co (0.627, 0.127, 0.000)
Co (0.873, 0.627, 0.000)
Pb (0.166, 0.666, 0.500)
Pb (0.334, 0.166, 0.500)
Pb (0.666, 0.834, 0.500)
Pb (0.834, 0.334, 0.500)



# 4
Compound: YTa2Tl2
Source: Alexandria via LeMat-Bulk
Functional: PBE
Structure: optimized geometry

- Energy above the lowest structure with this stoichiometry: 0 meV per atom
- Calculated formation energy: 0.263 eV/atom

Unit cell a=7.654 b=7.654 c=7.654 alpha=149.27 beta=149.27 gamma=44.01
Fractional coordinates of all 5 atoms:
Y (0.000, 0.000, 0.000)
Ta (0.250, 0.750, 0.500)
Ta (0.750, 0.250, 0.500)
Tl (0.399, 0.399, 0.000)
Tl (0.601, 0.601, 0.000)



# 5
Compound: Hf4ZrCu
Source: Alexandria via LeMat-Bulk
Functional: PBE
Structure: optimized geometry

- Calculated formation energy: -0.047 eV/atom

Unit cell a=3.170 b=3.170 c=12.438 alpha=90.00 beta=90.00 gamma=90.12
Fractional coordinates of all 6 atoms:
Hf (0.000, 0.000, 0.141)
Hf (0.000, 0.000, 0.859)
Hf (0.500, 0.500, 0.313)
Hf (0.500, 0.500, 0.687)
Zr (0.000, 0.000, 0.500)
Cu (0.500, 0.500, 0.000)



# 6
Compound: GaRePCl2
Source: Alexandria via LeMat-Bulk
Functional: PBE
Structure: optimized geometry

- Energy relative to the elements, uncorrected: 4.63 kcal/mol of atoms
- Energy above the lowest structure with this stoichiometry: 0 meV per atom

Unit cell a=5.013 b=5.013 c=4.576 alpha=90.00 beta=90.00 gamma=90.00
Fractional coordinates of all 5 atoms:
Ga (0.000, 0.000, 0.000)
Re (0.500, 0.500, 0.500)
P (0.500, 0.500, 0.000)
Cl (0.000, 0.500, 0.500)
Cl (0.500, 0.000, 0.500)



# 7
Compound: Ba2TmPtO4
Source: Alexandria via LeMat-Bulk
Functional: PBE
Structure: optimized geometry

- Energy relative to the elements, uncorrected: -41.48 kcal/mol of atoms

Unit cell a=12.159 b=10.761 c=6.788 alpha=84.49 beta=61.75 gamma=33.76
Fractional coordinates of all 16 atoms:
Ba (0.063, 0.063, 0.687)
Ba (0.313, 0.313, 0.937)
Ba (0.687, 0.687, 0.063)
Ba (0.937, 0.937, 0.313)
Tm (0.125, 0.125, 0.125)
Tm (0.875, 0.875, 0.875)
Pt (0.375, 0.375, 0.375)
Pt (0.625, 0.625, 0.625)
O (0.056, 0.272, 0.444)
O (0.272, 0.056, 0.728)
O (0.272, 0.556, 0.728)
O (0.444, 0.728, 0.056)
O (0.556, 0.272, 0.944)
O (0.728, 0.444, 0.272)
O (0.728, 0.944, 0.272)
O (0.944, 0.728, 0.556)



# 8
Compound: Tm3CdFe
Source: Alexandria via LeMat-Bulk
Functional: PBE
Structure: optimized geometry

- Energy above the lowest structure with this stoichiometry: 122 meV per atom
- Calculated formation energy: 0.005 eV/atom

Unit cell a=5.092 b=5.092 c=5.092 alpha=90.00 beta=90.00 gamma=90.00
Fractional coordinates of all 5 atoms:
Tm (0.000, 0.000, 0.500)
Tm (0.000, 0.500, 0.000)
Tm (0.500, 0.000, 0.000)
Cd (0.500, 0.500, 0.500)
Fe (0.000, 0.000, 0.000)



# 9
Compound: CoTe2P
Source: Alexandria via LeMat-Bulk
Functional: PBE
Structure: optimized geometry

- Energy relative to the elements, uncorrected: 4.98 kcal/mol of atoms

Unit cell a=3.785 b=3.785 c=6.817 alpha=105.86 beta=105.86 gamma=59.83
Fractional coordinates of all 4 atoms:
Co (0.000, 0.000, 0.000)
Te (0.261, 0.261, 0.780)
Te (0.739, 0.739, 0.220)
P (0.500, 0.500, 0.500)



# 10
Compound: YTa2
Source: Alexandria via LeMat-Bulk
Functional: PBE
Structure: optimized geometry

- Energy above the lowest structure with this stoichiometry: 251 meV per atom
- Calculated formation energy: 0.496 eV/atom

Unit cell a=5.522 b=5.522 c=5.522 alpha=149.36 beta=130.09 gamma=59.71
Fractional coordinates of all 3 atoms:
Y (0.000, 0.000, 0.000)
Ta (0.318, 0.318, 0.000)
Ta (0.682, 0.682, 0.000)



# 11
Compound: TaMn3Al
Source: Alexandria via LeMat-Bulk
Functional: PBE
Structure: optimized geometry

- Energy above the lowest structure with this stoichiometry: 305 meV per atom
- Calculated formation energy: 1.329 eV/atom

Unit cell a=4.632 b=4.632 c=4.632 alpha=90.00 beta=90.00 gamma=90.00
Fractional coordinates of all 5 atoms:
Ta (0.000, 0.000, 0.000)
Mn (0.000, 0.000, 0.500)
Mn (0.000, 0.500, 0.000)
Mn (0.500, 0.000, 0.000)
Al (0.500, 0.500, 0.500)



# 12
Compound: Sc2Cd2Pb
Source: Alexandria via LeMat-Bulk
Functional: PBE
Structure: optimized geometry

- Energy above the lowest structure with this stoichiometry: 176 meV per atom
- Calculated formation energy: 0.011 eV/atom

Unit cell a=8.364 b=8.364 c=8.364 alpha=152.10 beta=152.10 gamma=39.87
Fractional coordinates of all 5 atoms:
Sc (0.094, 0.094, 0.000)
Sc (0.906, 0.906, 0.000)
Cd (0.250, 0.750, 0.500)
Cd (0.750, 0.250, 0.500)
Pb (0.500, 0.500, 0.000)



# 13
Compound: GeSe3I
Source: Alexandria via LeMat-Bulk
Functional: PBE
Structure: optimized geometry

- Energy relative to the elements, uncorrected: 20.22 kcal/mol of atoms
- Energy above the lowest structure with this stoichiometry: 852 meV per atom

Unit cell a=5.377 b=5.377 c=5.377 alpha=90.00 beta=90.00 gamma=90.00
Fractional coordinates of all 5 atoms:
Ge (0.000, 0.000, 0.000)
Se (0.000, 0.500, 0.500)
Se (0.500, 0.000, 0.500)
Se (0.500, 0.500, 0.000)
I (0.500, 0.500, 0.500)



# 14
Compound: ZrB4Ir
Source: Alexandria via LeMat-Bulk
Functional: PBE
Structure: optimized geometry

- Calculated formation energy: -0.501 eV/atom

Unit cell a=5.931 b=11.494 c=3.460 alpha=90.00 beta=90.00 gamma=90.00
Fractional coordinates of all 24 atoms:
Zr (0.127, 0.146, 0.000)
Zr (0.373, 0.646, 0.000)
Zr (0.627, 0.354, 0.000)
Zr (0.873, 0.854, 0.000)
B (0.034, 0.693, 0.500)
B (0.118, 0.547, 0.500)
B (0.130, 0.968, 0.500)
B (0.196, 0.813, 0.500)
B (0.304, 0.313, 0.500)
B (0.370, 0.468, 0.500)
B (0.382, 0.047, 0.500)
B (0.466, 0.193, 0.500)
B (0.534, 0.807, 0.500)
B (0.618, 0.953, 0.500)
B (0.630, 0.532, 0.500)
B (0.696, 0.687, 0.500)
B (0.804, 0.187, 0.500)
B (0.870, 0.032, 0.500)
B (0.882, 0.453, 0.500)
B (0.966, 0.307, 0.500)
Ir (0.139, 0.400, 0.000)
Ir (0.361, 0.900, 0.000)
Ir (0.639, 0.100, 0.000)
Ir (0.861, 0.600, 0.000)



# 15
Compound: LiSiPtCl2
Source: Alexandria via LeMat-Bulk
Functional: PBE
Structure: optimized geometry

- Energy relative to the elements, uncorrected: 8.03 kcal/mol of atoms

Unit cell a=4.889 b=4.889 c=4.976 alpha=90.00 beta=90.00 gamma=90.00
Fractional coordinates of all 5 atoms:
Li (0.000, 0.000, 0.000)
Si (0.500, 0.500, 0.000)
Pt (0.000, 0.000, 0.500)
Cl (0.000, 0.500, 0.500)
Cl (0.500, 0.000, 0.500)



# 16
Compound: Ce4Sb8Pt3
Source: Alexandria via LeMat-Bulk
Functional: PBE
Structure: optimized geometry

- Energy relative to the elements, uncorrected: -19.42 kcal/mol of atoms

Unit cell a=4.458 b=4.458 c=19.076 alpha=90.00 beta=90.00 gamma=90.00
Fractional coordinates of all 15 atoms:
Ce (0.000, 0.500, 0.114)
Ce (0.000, 0.500, 0.623)
Ce (0.500, 0.000, 0.377)
Ce (0.500, 0.000, 0.886)
Sb (0.000, 0.000, 0.246)
Sb (0.000, 0.000, 0.754)
Sb (0.000, 0.500, 0.413)
Sb (0.000, 0.500, 0.922)
Sb (0.500, 0.000, 0.078)
Sb (0.500, 0.000, 0.587)
Sb (0.500, 0.500, 0.246)
Sb (0.500, 0.500, 0.754)
Pt (0.000, 0.000, 0.000)
Pt (0.000, 0.000, 0.500)
Pt (0.500, 0.500, 0.500)



# 17
Compound: ZrPtS2
Source: Alexandria via LeMat-Bulk
Functional: PBE
Structure: optimized geometry

- Energy relative to the elements, uncorrected: -19.30 kcal/mol of atoms
- Energy above the lowest structure with this stoichiometry: 0 meV per atom

Unit cell a=7.939 b=7.939 c=7.939 alpha=25.69 beta=25.69 gamma=25.69
Fractional coordinates of all 4 atoms:
Zr (0.000, 0.000, 0.000)
Pt (0.500, 0.500, 0.500)
S (0.401, 0.401, 0.401)
S (0.599, 0.599, 0.599)



# 18
Compound: Tm3Ga2Pt6
Source: Alexandria via LeMat-Bulk
Functional: PBE
Structure: optimized geometry

- Calculated formation energy: -1.030 eV/atom

Unit cell a=8.219 b=8.219 c=8.219 alpha=109.47 beta=109.47 gamma=109.47
Fractional coordinates of all 22 atoms:
Tm (0.000, 0.303, 0.303)
Tm (0.000, 0.697, 0.697)
Tm (0.303, 0.000, 0.303)
Tm (0.303, 0.303, 0.000)
Tm (0.697, 0.000, 0.697)
Tm (0.697, 0.697, 0.000)
Ga (0.000, 0.000, 0.500)
Ga (0.000, 0.500, 0.000)
Ga (0.500, 0.000, 0.000)
Ga (0.500, 0.500, 0.500)
Pt (0.000, 0.322, 0.678)
Pt (0.000, 0.678, 0.322)
Pt (0.322, 0.000, 0.678)
Pt (0.322, 0.322, 0.645)
Pt (0.322, 0.645, 0.322)
Pt (0.322, 0.678, 0.000)
Pt (0.355, 0.678, 0.678)
Pt (0.645, 0.322, 0.322)
Pt (0.678, 0.000, 0.322)
Pt (0.678, 0.322, 0.000)
Pt (0.678, 0.355, 0.678)
Pt (0.678, 0.678, 0.355)



# 19
Compound: Tb8C3Se3O
Source: Alexandria via LeMat-Bulk
Functional: PBE
Structure: optimized geometry

- Energy relative to the elements, uncorrected: -29.49 kcal/mol of atoms

Unit cell a=7.817 b=7.817 c=7.817 alpha=57.14 beta=57.14 gamma=57.14
Fractional coordinates of all 15 atoms:
Tb (0.226, 0.741, 0.741)
Tb (0.235, 0.235, 0.235)
Tb (0.259, 0.259, 0.774)
Tb (0.259, 0.774, 0.259)
Tb (0.741, 0.226, 0.741)
Tb (0.741, 0.741, 0.226)
Tb (0.765, 0.765, 0.765)
Tb (0.774, 0.259, 0.259)
C (0.000, 0.000, 0.500)
C (0.000, 0.500, 0.000)
C (0.500, 0.000, 0.000)
Se (0.000, 0.500, 0.500)
Se (0.500, 0.000, 0.500)
Se (0.500, 0.500, 0.000)
O (0.500, 0.500, 0.500)



# 20
Compound: ZrZn2Sb
Source: Alexandria via LeMat-Bulk
Functional: PBE
Structure: optimized geometry

- Energy relative to the elements, uncorrected: -5.63 kcal/mol of atoms

Unit cell a=4.216 b=4.216 c=4.303 alpha=90.00 beta=90.00 gamma=90.00
Fractional coordinates of all 4 atoms:
Zr (0.000, 0.000, 0.000)
Zn (0.000, 0.500, 0.500)
Zn (0.500, 0.000, 0.500)
Sb (0.500, 0.500, 0.000)



# 21
Compound: Ba3Y3AgTe8
Source: Alexandria via LeMat-Bulk
Functional: PBE
Structure: optimized geometry

- Energy relative to the elements, uncorrected: -30.73 kcal/mol of atoms

Unit cell a=9.446 b=9.446 c=9.446 alpha=57.76 beta=57.76 gamma=57.76
Fractional coordinates of all 15 atoms:
Ba (0.000, 0.500, 0.500)
Ba (0.500, 0.000, 0.500)
Ba (0.500, 0.500, 0.000)
Y (0.000, 0.000, 0.500)
Y (0.000, 0.500, 0.000)
Y (0.500, 0.000, 0.000)
Ag (0.500, 0.500, 0.500)
Te (0.230, 0.742, 0.742)
Te (0.239, 0.239, 0.239)
Te (0.258, 0.258, 0.770)
Te (0.258, 0.770, 0.258)
Te (0.742, 0.230, 0.742)
Te (0.742, 0.742, 0.230)
Te (0.761, 0.761, 0.761)
Te (0.770, 0.258, 0.258)



# 22
Compound: CeTmCoRu
Source: Alexandria via LeMat-Bulk
Functional: PBE
Structure: optimized geometry

- Energy above the lowest structure with this stoichiometry: 0 meV per atom
- Calculated formation energy: -0.301 eV/atom

Unit cell a=3.361 b=3.361 c=6.741 alpha=90.00 beta=90.00 gamma=90.00
Fractional coordinates of all 4 atoms:
Ce (0.000, 0.000, 0.000)
Tm (0.000, 0.000, 0.513)
Co (0.500, 0.500, 0.783)
Ru (0.500, 0.500, 0.252)



# 23
Compound: Co2Re3
Source: Alexandria via LeMat-Bulk
Functional: PBE
Structure: optimized geometry

- Energy above the lowest structure with this stoichiometry: 0 meV per atom
- Calculated formation energy: 0.107 eV/atom

Unit cell a=6.776 b=5.103 c=7.843 alpha=58.66 beta=40.03 gamma=81.31
Fractional coordinates of all 10 atoms:
Co (0.018, 0.482, 0.074)
Co (0.176, 0.824, 0.232)
Co (0.482, 0.018, 0.426)
Co (0.824, 0.176, 0.768)
Re (0.046, 0.046, 0.954)
Re (0.296, 0.296, 0.204)
Re (0.469, 0.583, 0.321)
Re (0.583, 0.469, 0.627)
Re (0.623, 0.929, 0.667)
Re (0.929, 0.623, 0.781)



# 24
Compound: BaCd2Pb
Source: Alexandria via LeMat-Bulk
Functional: PBE
Structure: optimized geometry

- Calculated formation energy: -0.082 eV/atom

Unit cell a=6.915 b=6.915 c=3.521 alpha=103.58 beta=103.58 gamma=118.77
Fractional coordinates of all 4 atoms:
Ba (0.000, 0.000, 0.000)
Cd (0.000, 0.500, 0.500)
Cd (0.500, 0.000, 0.500)
Pb (0.500, 0.500, 0.000)



no.,E_tot (eV/atom),total moment (μB per cell)
1,-3.229,0.000
2,-3.316,0.000
3,-4.230,2.359
4,-6.717,0.000
5,-8.790,0.001
6,-4.715,0.962
7,-6.073,1.971
8,-4.553,0.000
9,-4.484,0.000
10,-9.560,0.000
11,-7.292,7.592
12,-3.629,0.507
13,-2.447,0.000
14,-7.854,0.000
15,-3.066,1.656
16,-5.831,0.016
17,-6.548,0.000
18,-6.095,0.000
19,-6.620,0.000
20,-4.049,0.000
21,-4.876,0.000
22,-6.998,0.027
23,-10.205,0.002
24,-1.948,0.000